(1)
Ba3Sb: relaxed, GGA-PBE.

Results
Energy above the lowest structure with this stoichiometry, eV per formula unit: 0.96
Formation energy from raw total energies, eV/atom: -0.364

Lattice parameters (Å, degrees): 7.1060 7.1060 7.1060 90.00 90.00 90.00
Fractional coordinates of all 8 atoms:
Ba 0.0000 0.2500 0.5000
Ba 0.0000 0.7500 0.5000
Ba 0.2500 0.5000 0.0000
Ba 0.5000 0.0000 0.2500
Ba 0.5000 0.0000 0.7500
Ba 0.7500 0.5000 0.0000
Sb 0.0000 0.0000 0.0000
Sb 0.5000 0.5000 0.5000

***

(2)
Pm5Cu6: relaxed, GGA-PBE.

Results
Formation energy, meV/atom: -193

Lattice parameters (Å, degrees): 14.8903 14.8903 3.8023 90.00 90.00 163.05
Fractional coordinates of all 11 atoms:
Pm 0.0000 0.0000 0.0000
Pm 0.1972 0.8028 0.5000
Pm 0.3842 0.6158 0.0000
Pm 0.6158 0.3842 0.0000
Pm 0.8028 0.1972 0.5000
Cu 0.0855 0.9145 0.5000
Cu 0.2747 0.7253 0.0000
Cu 0.4590 0.5410 0.5000
Cu 0.5410 0.4590 0.5000
Cu 0.7253 0.2747 0.0000
Cu 0.9145 0.0855 0.5000

***

(3)
CuBAsBr2: relaxed, GGA-PBE.

Results
Energy above the lowest structure with this stoichiometry, eV per formula unit: 1.20
Formation energy from raw total energies, eV/atom: 1.164

Lattice parameters (Å, degrees): 5.1131 5.1131 4.6583 90.00 90.00 90.00
Fractional coordinates of all 5 atoms:
Cu 0.0000 0.0000 0.0000
B 0.5000 0.5000 0.5000
As 0.0000 0.0000 0.5000
Br 0.0000 0.5000 0.0000
Br 0.5000 0.0000 0.0000

***

(4)
RbNaHg2F8: relaxed, GGA-PBE.

Results
Formation energy from raw total energies, eV/atom: -1.599

Lattice parameters (Å, degrees): 6.8081 6.8081 6.8081 128.19 128.19 76.31
Fractional coordinates of all 12 atoms:
Rb 0.0000 0.0000 0.0000
Na 0.2500 0.7500 0.5000
Hg 0.5000 0.5000 0.0000
Hg 0.7500 0.2500 0.5000
F 0.1411 0.1511 0.5558
F 0.1411 0.5852 0.9900
F 0.4148 0.4048 0.5558
F 0.4148 0.8589 0.0100
F 0.5952 0.1511 0.0100
F 0.5952 0.5852 0.4442
F 0.8489 0.4048 0.9900
F 0.8489 0.8589 0.4442

***

(5)
VZnRh: relaxed, GGA-PBE.

Results
Formation energy, meV/atom: -189

Lattice parameters (Å, degrees): 7.0934 7.0934 4.3761 90.00 90.00 157.63
Fractional coordinates of all 6 atoms:
V 0.1230 0.8770 0.7500
V 0.8770 0.1230 0.2500
Zn 0.4515 0.5485 0.7500
Zn 0.5485 0.4515 0.2500
Rh 0.2108 0.7892 0.2500
Rh 0.7892 0.2108 0.7500

***

(6)
PrEuGdY: relaxed, GGA-PBE.

Results
Formation energy, meV/atom: 143

Lattice parameters (Å, degrees): 5.8380 5.8380 5.8380 60.00 60.00 60.00
Fractional coordinates of all 4 atoms:
Pr 0.0000 0.0000 0.0000
Eu 0.7500 0.7500 0.7500
Gd 0.2500 0.2500 0.2500
Y 0.5000 0.5000 0.5000

***

(7)
Re2Ag2Rh: relaxed, GGA-PBE.

Results
Energy above the lowest structure with this stoichiometry, eV per formula unit: 0.34
Formation energy, meV/atom: 1079

Lattice parameters (Å, degrees): 7.3064 7.3064 7.3064 151.58 151.58 40.62
Fractional coordinates of all 5 atoms:
Re 0.0839 0.0839 0.0000
Re 0.9161 0.9161 0.0000
Ag 0.2500 0.7500 0.5000
Ag 0.7500 0.2500 0.5000
Rh 0.5000 0.5000 0.0000

***

(8)
Hf2Tc2Os: relaxed, GGA-PBE.

Results
Formation energy, meV/atom: -73

Lattice parameters (Å, degrees): 6.5083 6.5083 4.2750 90.00 90.00 90.00
Fractional coordinates of all 10 atoms:
Hf 0.1806 0.3194 0.0000
Hf 0.3194 0.8194 0.0000
Hf 0.6806 0.1806 0.0000
Hf 0.8194 0.6806 0.0000
Tc 0.1342 0.6342 0.5000
Tc 0.3658 0.1342 0.5000
Tc 0.6342 0.8658 0.5000
Tc 0.8658 0.3658 0.5000
Os 0.0000 0.0000 0.5000
Os 0.5000 0.5000 0.5000

***

(9)
Pa2BeN: relaxed, GGA-PBE.

Results
Formation energy from raw total energies, eV/atom: -0.432

Lattice parameters (Å, degrees): 7.6764 7.6764 7.6764 24.84 24.84 24.84
Fractional coordinates of all 4 atoms:
Pa 0.2353 0.2353 0.2353
Pa 0.7647 0.7647 0.7647
Be 0.0000 0.0000 0.0000
N 0.5000 0.5000 0.5000

***

(10)
Re3P: relaxed, GGA-PBE.

Results
Energy above the lowest structure with this stoichiometry, eV per formula unit: 1.67
Formation energy, meV/atom: 297

Lattice parameters (Å, degrees): 4.4078 4.4078 2.9656 90.00 90.00 90.00
Fractional coordinates of all 4 atoms:
Re 0.0000 0.0000 0.0000
Re 0.0000 0.5000 0.5000
Re 0.5000 0.0000 0.5000
P 0.5000 0.5000 0.0000

***

(11)
MoH2: relaxed, GGA-PBE.

Results
Energy above the lowest structure with this stoichiometry, eV per formula unit: 0.00

Lattice parameters (Å, degrees): 3.1156 3.1156 3.1156 60.00 60.00 60.00
Fractional coordinates of all 3 atoms:
Mo 0.0000 0.0000 0.0000
H 0.2500 0.2500 0.2500
H 0.7500 0.7500 0.7500

***

(12)
FeSi2Se: relaxed, GGA-PBE.

Results
Formation energy from raw total energies, eV/atom: 0.163

Lattice parameters (Å, degrees): 2.7100 2.7100 8.3140 90.00 90.00 90.00
Fractional coordinates of all 4 atoms:
Fe 0.0000 0.0000 0.0000
Si 0.5000 0.5000 0.1724
Si 0.5000 0.5000 0.8276
Se 0.0000 0.0000 0.5000

***

(13)
TlGe2S6: relaxed, GGA-PBE.

Results
Formation energy from raw total energies, eV/atom: -0.101

Lattice parameters (Å, degrees): 9.2255 9.2255 6.1921 106.28 106.28 95.71
Fractional coordinates of all 18 atoms:
Tl 0.2162 0.7838 0.7500
Tl 0.7838 0.2162 0.2500
Ge 0.2080 0.3499 0.6744
Ge 0.3499 0.2080 0.1744
Ge 0.6501 0.7920 0.8256
Ge 0.7920 0.6501 0.3256
S 0.0008 0.1704 0.5974
S 0.1427 0.5574 0.8802
S 0.1704 0.0008 0.0974
S 0.2722 0.4109 0.3826
S 0.4109 0.2722 0.8826
S 0.4426 0.8573 0.6198
S 0.5574 0.1427 0.3802
S 0.5891 0.7278 0.1174
S 0.7278 0.5891 0.6174
S 0.8296 0.9992 0.9026
S 0.8573 0.4426 0.1198
S 0.9992 0.8296 0.4026

***

(14)
NpCu5Pd6: relaxed, GGA-PBE.

Results
Formation energy, meV/atom: -182

Lattice parameters (Å, degrees): 6.4991 6.4991 7.0120 90.00 90.00 142.77
Fractional coordinates of all 12 atoms:
Np 0.0000 0.0000 0.0000
Cu 0.0000 0.0000 0.5000
Cu 0.3230 0.6770 0.0000
Cu 0.3347 0.6653 0.5000
Cu 0.6653 0.3347 0.5000
Cu 0.6770 0.3230 0.0000
Pd 0.1687 0.8313 0.2607
Pd 0.1687 0.8313 0.7393
Pd 0.5000 0.5000 0.2635
Pd 0.5000 0.5000 0.7365
Pd 0.8313 0.1687 0.2607
Pd 0.8313 0.1687 0.7393

***

(15)
Y5Er2Sc4: relaxed, GGA-PBE.

Results
Formation energy, meV/atom: 95

Lattice parameters (Å, degrees): 8.7262 3.4999 10.7574 90.00 94.59 90.00
Fractional coordinates of all 11 atoms:
Y 0.0000 0.0000 0.0000
Y 0.0472 0.0000 0.3355
Y 0.3541 0.0000 0.8676
Y 0.6459 0.0000 0.1324
Y 0.9528 0.0000 0.6645
Er 0.4245 0.0000 0.3642
Er 0.5755 0.0000 0.6358
Sc 0.2572 0.5000 0.5747
Sc 0.2978 0.5000 0.1319
Sc 0.7022 0.5000 0.8681
Sc 0.7428 0.5000 0.4253

***

(16)
Fe2CoHg: relaxed, GGA-PBE.

Results
Formation energy, meV/atom: 348

Lattice parameters (Å, degrees): 4.6423 4.6423 4.6423 131.34 131.34 71.28
Fractional coordinates of all 4 atoms:
Fe 0.0000 0.0000 0.0000
Fe 0.7500 0.2500 0.5000
Co 0.5000 0.5000 0.0000
Hg 0.2500 0.7500 0.5000

***

(17)
HgPd2Au: relaxed, GGA-PBE.

Results
Formation energy, meV/atom: -156

Lattice parameters (Å, degrees): 4.3987 4.3987 3.5860 90.00 90.00 90.00
Fractional coordinates of all 4 atoms:
Hg 0.0000 0.0000 0.0000
Pd 0.0000 0.5000 0.5000
Pd 0.5000 0.0000 0.5000
Au 0.5000 0.5000 0.0000

***

(18)
KNiW3: relaxed, GGA-PBE.

Results
Energy above the lowest structure with this stoichiometry, eV per formula unit: 0.00
Formation energy, meV/atom: 2122

Lattice parameters (Å, degrees): 4.6724 4.6724 4.6724 90.00 90.00 90.00
Fractional coordinates of all 5 atoms:
K 0.0000 0.0000 0.0000
Ni 0.5000 0.5000 0.5000
W 0.0000 0.5000 0.5000
W 0.5000 0.0000 0.5000
W 0.5000 0.5000 0.0000

***

(19)
Sm2Ho7Er: relaxed, GGA-PBE.

Results
Energy above the lowest structure with this stoichiometry, eV per formula unit: 0.00
Formation energy, meV/atom: 21

Lattice parameters (Å, degrees): 6.1345 6.1381 9.3639 102.58 109.04 99.62
Fractional coordinates of all 10 atoms:
Sm 0.1989 0.9996 0.3986
Sm 0.8011 0.0004 0.6014
Ho 0.0000 0.5000 0.5000
Ho 0.2002 0.5008 0.9008
Ho 0.4004 0.4991 0.2986
Ho 0.4013 0.0010 0.8021
Ho 0.5987 0.9990 0.1979
Ho 0.5996 0.5009 0.7014
Ho 0.7998 0.4992 0.0992
Er 0.0000 0.0000 0.0000

***

(20)
SiWCN2: relaxed, GGA-PBE.

Results
Formation energy from raw total energies, eV/atom: 1.191

Lattice parameters (Å, degrees): 3.9331 3.9331 4.2077 90.00 90.00 90.00
Fractional coordinates of all 5 atoms:
Si 0.0000 0.0000 0.0000
W 0.5000 0.5000 0.5000
C 0.5000 0.5000 0.0000
N 0.0000 0.5000 0.5000
N 0.5000 0.0000 0.5000